# 1
Density functional theory data (PBE) for crystalline LaNiCl2 at its relaxed geometry.

Output
For the total DFT energy (no corrections), the calculation gives -4.508 eV/atom. The calculated volume comes out at 163.16 Å³ per cell. The calculated density comes out at 5.5 Mg/m³. The value obtained for the polymorph energy (0 for the lowest one) is 264.6 meV/atom. The value obtained for the uncorrected formation energy is -87.6 kJ/mol of atoms. The magnetization is 0.00 μB/atom.

Cell lengths 4.187, 4.187, 9.309 Å; angles 90.00, 90.00, 90.00 degrees
Space group I-4m2 (No. 119)
Symmetry-distinct sites (fractional):
La1 0.000 0.000 0.000 x2
Ni1 0.000 0.500 0.750 x2
Cl1 0.000 0.000 0.500 x2
Cl2 0.000 0.500 0.250 x2

=====

# 2
Density functional theory data (PBE) for crystalline CaMgPb at its relaxed geometry.

Output
For the total DFT energy (no corrections), the calculation gives -2.875 eV/atom. The calculated volume comes out at 507.47 Å³ per cell. The formation energy comes out at -0.440 eV per atom. The calculated density comes out at 5.3 Mg/m³. The magnetization is 0.00 μB/atom.

Cell lengths 7.822, 4.786, 13.557 Å; angles 90.00, 90.01, 90.00 degrees
Space group P2_1/m (No. 11)
Symmetry-distinct sites (fractional):
Ca1 0.015 0.250 0.295 x2
Ca2 0.340 0.750 0.913 x2
Ca3 0.476 0.750 0.624 x2
Mg1 0.006 0.250 0.907 x2
Mg2 0.146 0.250 0.539 x2
Mg3 0.354 0.750 0.206 x2
Pb1 0.240 0.250 0.085 x2
Pb2 0.240 0.750 0.419 x2
Pb3 0.272 0.250 0.748 x2

=====

# 3
Density functional theory data (PBE) for crystalline GdMg2Au at its relaxed geometry.

Output
For the total DFT energy (no corrections), the calculation gives -5.483 eV/atom. The calculated volume comes out at 91.53 Å³ per cell. The formation energy comes out at -0.346 eV per atom. The calculated density comes out at 7.3 Mg/m³. The magnetization is 1.94 μB/atom.

Cell lengths 3.418, 3.418, 7.836 Å; angles 90.00, 90.00, 90.00 degrees
Space group P4/mmm (No. 123)
Symmetry-distinct sites (fractional):
Gd1 0.000 0.000 0.000 x1
Mg1 0.500 0.500 0.305 x2
Au1 0.000 0.000 0.500 x1

=====

# 4
Density functional theory data (PBE) for crystalline Cd5Cu at its relaxed geometry.

Output
For the total DFT energy (no corrections), the calculation gives -1.388 eV/atom. The calculated volume comes out at 124.74 Å³ per cell. The formation energy comes out at 0.057 eV per atom. The calculated density comes out at 8.3 Mg/m³. The value obtained for the polymorph energy (0 for the lowest one) is 31.2 meV/atom. The magnetization is 0.00 μB/atom.

Cell lengths 3.131, 3.131, 12.721 Å; angles 90.00, 90.00, 90.00 degrees
Space group P4/mmm (No. 123)
Symmetry-distinct sites (fractional):
Cd1 0.000 0.000 0.000 x1
Cd2 0.000 0.000 0.366 x2
Cd3 0.500 0.500 0.185 x2
Cu1 0.500 0.500 0.500 x1

=====

# 5
Density functional theory data (PBE) for crystalline CdCoCu2 at its relaxed geometry.

Output
For the total DFT energy (no corrections), the calculation gives -3.821 eV/atom. The calculated volume comes out at 111.18 Å³ per cell. The formation energy comes out at 0.232 eV per atom. The calculated density comes out at 8.9 Mg/m³. The magnetization is 0.30 μB/atom.

Cell lengths 8.783, 2.703, 4.754 Å; angles 90.00, 99.97, 90.00 degrees
Space group C2/m (No. 12)
Symmetry-distinct sites (fractional):
Cd1 0.000 0.000 0.000 x2
Co1 0.000 0.500 0.500 x2
Cu1 0.242 0.000 0.721 x4

=====

# 6
Density functional theory data (PBE) for crystalline InTe2IrN at its relaxed geometry.

Output
For the total DFT energy (no corrections), the calculation gives -5.027 eV/atom. The calculated volume comes out at 126.07 Å³ per cell. The calculated density comes out at 7.6 Mg/m³. The value obtained for the polymorph energy (0 for the lowest one) is 0.0 meV/atom. The value obtained for the uncorrected formation energy is 20.7 kJ/mol of atoms. The magnetization is 0.00 μB/atom.

Cell lengths 5.849, 5.849, 3.685 Å; angles 90.00, 90.00, 90.00 degrees
Space group P4/mmm (No. 123)
Symmetry-distinct sites (fractional):
In1 0.000 0.000 0.000 x1
Te1 0.000 0.500 0.500 x2
Ir1 0.500 0.500 0.500 x1
N1 0.500 0.500 0.000 x1

=====

# 7
Density functional theory data (PBE) for crystalline ScTa3Be at its relaxed geometry.

Output
For the total DFT energy (no corrections), the calculation gives -6.927 eV/atom. The calculated volume comes out at 104.31 Å³ per cell. The formation energy comes out at 2.197 eV per atom. The calculated density comes out at 9.5 Mg/m³. The value obtained for the polymorph energy (0 for the lowest one) is 1679.1 meV/atom. The magnetization is 0.00 μB/atom.

Cell lengths 4.707, 4.707, 4.707 Å; angles 90.00, 90.00, 90.00 degrees
Space group Pm-3m (No. 221)
Symmetry-distinct sites (fractional):
Sc1 0.000 0.000 0.000 x1
Ta1 0.000 0.000 0.500 x3
Be1 0.500 0.500 0.500 x1

=====

# 8
Density functional theory data (PBE) for crystalline Ac2AuCl at its relaxed geometry.

Output
For the total DFT energy (no corrections), the calculation gives -4.323 eV/atom. The calculated volume comes out at 120.81 Å³ per cell. The calculated density comes out at 9.4 Mg/m³. The value obtained for the polymorph energy (0 for the lowest one) is 170.8 meV/atom. The value obtained for the uncorrected formation energy is -95.3 kJ/mol of atoms. The magnetization is 0.00 μB/atom.

Cell lengths 3.745, 3.745, 8.612 Å; angles 90.00, 90.00, 90.00 degrees
Space group P4/mmm (No. 123)
Symmetry-distinct sites (fractional):
Ac1 0.000 0.000 0.230 x2
Au1 0.500 0.500 0.000 x1
Cl1 0.500 0.500 0.500 x1

=====

The highest calculated density belongs to which entry?
ScTa3Be

=====

Number 3 is which compound?
GdMg2Au

=====

What did the fifth record say?
Density functional theory data (PBE) for crystalline CdCoCu2 at its relaxed geometry.

Output
For the total DFT energy (no corrections), the calculation gives -3.821 eV/atom. The calculated volume comes out at 111.18 Å³ per cell. The formation energy comes out at 0.232 eV per atom. The calculated density comes out at 8.9 Mg/m³. The magnetization is 0.30 μB/atom.

Cell lengths 8.783, 2.703, 4.754 Å; angles 90.00, 99.97, 90.00 degrees
Space group C2/m (No. 12)
Symmetry-distinct sites (fractional):
Cd1 0.000 0.000 0.000 x2
Co1 0.000 0.500 0.500 x2
Cu1 0.242 0.000 0.721 x4